No. 1
First-principles (PBE) data for Mg2CrSnHg after structural relaxation, as listed in Alexandria.

Lattice parameters (Å, degrees): 5.138 5.138 5.181 90.00 90.00 90.00
Positions (direct):
1 Mg 0.000 0.500 0.000
2 Mg 0.500 0.000 0.000
3 Cr 0.000 0.000 0.500
4 Sn 0.500 0.500 0.500
5 Hg 0.000 0.000 0.000

Summary:
Formation enthalpy at 0 K in eV per atom: 0.51
M_tot in Bohr magnetons per cell: 4.1
Symmetry: P4/mmm, No. 123
Density of states at the Fermi level in states/eV/f.u.: 2.4



No. 2
First-principles (PBE) data for YMgCr2Hg after structural relaxation, as listed in Alexandria.

Lattice parameters (Å, degrees): 5.187 5.187 5.572 90.00 90.00 90.00
Positions (direct):
1 Y 0.000 0.000 0.000
2 Mg 0.500 0.500 0.500
3 Cr 0.000 0.500 0.000
4 Cr 0.500 0.000 0.000
5 Hg 0.000 0.000 0.500

Summary:
Formation enthalpy at 0 K in eV per atom: 1.39
M_tot in Bohr magnetons per cell: 8.0
Symmetry: P4/mmm, No. 123
Density of states at the Fermi level in states/eV/f.u.: 4.0



No. 3
First-principles (PBE) data for MnCrHg2 after structural relaxation, as listed in Alexandria.

Lattice parameters (Å, degrees): 4.482 4.482 4.482 60.00 60.00 60.00
Positions (direct):
1 Mn 0.000 0.000 0.000
2 Cr 0.500 0.500 0.500
3 Hg 0.250 0.250 0.250
4 Hg 0.750 0.750 0.750

Summary:
ΔE to the lowest computed polymorph in meV/atom: 649
Formation enthalpy at 0 K in eV per atom: 0.94
M_tot in Bohr magnetons per cell: 0.0
Symmetry: Fm-3m, No. 225
Density of states at the Fermi level in states/eV/f.u.: 5.6



No. 4
First-principles (PBE) data for Mn2CrHg after structural relaxation, as listed in Alexandria.

Lattice parameters (Å, degrees): 8.542 8.542 8.542 19.85 19.85 19.85
Positions (direct):
1 Mn 0.000 0.000 0.000
2 Mn 0.258 0.258 0.258
3 Cr 0.734 0.734 0.734
4 Hg 0.497 0.497 0.497

Summary:
Formation enthalpy at 0 K in eV per atom: 0.44
M_tot in Bohr magnetons per cell: 3.5
Symmetry: R3m, No. 160
Density of states at the Fermi level in states/eV/f.u.: 2.3



No. 5
First-principles (PBE) data for MnCr2Hg after structural relaxation, as listed in Alexandria.

Lattice parameters (Å, degrees): 3.013 3.013 6.836 90.00 90.00 90.00
Positions (direct):
1 Mn 0.000 0.000 0.000
2 Cr 0.500 0.500 0.210
3 Cr 0.500 0.500 0.790
4 Hg 0.000 0.000 0.500

Summary:
Formation enthalpy at 0 K in eV per atom: 0.35
M_tot in Bohr magnetons per cell: 3.5
Symmetry: P4/mmm, No. 123
Density of states at the Fermi level in states/eV/f.u.: 2.4



No. 6
First-principles (PBE) data for MnCrHg2 after structural relaxation, as listed in Alexandria.

Lattice parameters (Å, degrees): 3.061 3.055 7.897 90.00 95.93 90.00
Positions (direct):
1 Mn 0.000 0.000 0.000
2 Cr 0.455 0.500 0.840
3 Hg 0.567 0.500 0.252
4 Hg 0.883 0.000 0.584

Summary:
ΔE to the lowest computed polymorph in meV/atom: 0
Formation enthalpy at 0 K in eV per atom: 0.29
M_tot in Bohr magnetons per cell: 0.2
Symmetry: Pm, No. 6
Density of states at the Fermi level in states/eV/f.u.: 2.4



No. 7
First-principles (PBE) data for MnCrHg2 after structural relaxation, as listed in Alexandria.

Lattice parameters (Å, degrees): 4.764 4.764 4.764 60.00 60.00 60.00
Positions (direct):
1 Mn 0.000 0.000 0.000
2 Cr 0.250 0.250 0.250
3 Hg 0.500 0.500 0.500
4 Hg 0.750 0.750 0.750

Summary:
ΔE to the lowest computed polymorph in meV/atom: 304
Formation enthalpy at 0 K in eV per atom: 0.59
M_tot in Bohr magnetons per cell: 8.5
Symmetry: F-43m, No. 216
Density of states at the Fermi level in states/eV/f.u.: 2.0



No. 8
First-principles (PBE) data for MnCr2Hg after structural relaxation, as listed in Alexandria.

Lattice parameters (Å, degrees): 4.679 4.679 4.770 103.47 103.47 35.19
Positions (direct):
1 Mn 0.000 0.000 0.000
2 Cr 0.465 0.465 0.407
3 Cr 0.735 0.735 0.205
4 Hg 0.233 0.233 0.705

Summary:
Formation enthalpy at 0 K in eV per atom: 0.54
M_tot in Bohr magnetons per cell: 0.7
Symmetry: Cm, No. 8
Density of states at the Fermi level in states/eV/f.u.: 4.0